YF | PBE | relaxed

The structure belongs to space group R3m (No. 160, hexagonal axes); the cell edges are 3.6157, 3.6157 and 11.0311 Å and the angles 90.00°, 90.00° and 120.00°. The asymmetric unit holds Y at (0.0000, 0.0000, 0.0000) and F at (0.0000, 0.0000, 0.1997).

As for the total energy: -6.4686 eV per atom. The raw formation energy is -4.6 eV/f.u.

Re2SeBr | PBE | relaxed

The structure belongs to space group Cmmm (No. 65); the cell edges are 2.944, 5.457 and 8.680 Å and the angles 90.00°, 90.00° and 90.00°. The asymmetric unit holds Re at (0.000, 0.000, 0.229), Se at (0.000, 0.500, 0.000) and Br at (0.000, 0.500, 0.500).

As for the total energy: -6.2707 eV per atom. The raw formation energy is 5.0 eV/f.u.

MnCrW2 | PBE | relaxed

The structure belongs to space group Pm (No. 6); the cell edges are 2.656, 4.300 and 4.984 Å and the angles 90.00°, 100.18° and 90.00°. The asymmetric unit holds Mn at (0.000, 0.000, 0.000), Cr at (0.255, 0.500, 0.747), W at (0.497, 0.000, 0.512) and W at (0.746, 0.500, 0.236).

As for the total energy: -11.0398 eV per atom. The calculation puts the energy of formation at 135 meV per atom.

| no. | ΔE to the lowest computed polymorph (meV/atom) |
| --- | --- |
| 1 | 290 |
| 2 | 1057 |
| 3 | 66 |